1.
Entry from the Alexandria database: a relaxed La12Er3Cd crystal (GGA-PBE).

Results
For the electronic total energy, the calculation gives -0.1702 hartree per atom. The value obtained for the formation energy is -0.37 eV per formula unit.

CIF file:
```
data_La12Er3Cd
_chemical_formula_sum 'La12 Er3 Cd1'
_cell_length_a 5.1609
_cell_length_b 5.1609
_cell_length_c 20.7735
_cell_angle_alpha 90.00
_cell_angle_beta 90.00
_cell_angle_gamma 90.00
_symmetry_space_group_name_H-M 'P 4/m m m'
_symmetry_Int_Tables_number 123
_symmetry_space_group_name_Hall '-P 4 2'
loop_
_atom_site_label
_atom_site_type_symbol
_atom_site_fract_x
_atom_site_fract_y
_atom_site_fract_z
_atom_site_occupancy
La1 La 0.0000 0.0000 0.0000 1
La2 La 0.0000 0.0000 0.2481 1
La3 La 0.0000 0.0000 0.5000 1
La4 La 0.0000 0.5000 0.1230 1
La5 La 0.0000 0.5000 0.3742 1
Er1 Er 0.5000 0.5000 0.2480 1
Er2 Er 0.5000 0.5000 0.5000 1
Cd1 Cd 0.5000 0.5000 0.0000 1
```

=====

2.
Entry from the Alexandria database: a relaxed RuSe2O crystal (GGA-PBE).

Results
The formation energy (no corrections) comes out at 0.618 eV per atom. For the electronic total energy, the calculation gives -0.1721 hartree per atom.

CIF file:
```
data_RuSe2O
_chemical_formula_sum 'Ru3 Se6 O3'
_cell_length_a 2.9464
_cell_length_b 2.9464
_cell_length_c 24.4028
_cell_angle_alpha 90.00
_cell_angle_beta 90.00
_cell_angle_gamma 120.00
_symmetry_space_group_name_H-M 'R -3 m'
_symmetry_Int_Tables_number 166
_symmetry_space_group_name_Hall '-R 3 2"'
loop_
_atom_site_label
_atom_site_type_symbol
_atom_site_fract_x
_atom_site_fract_y
_atom_site_fract_z
_atom_site_occupancy
Ru1 Ru 0.0000 0.0000 0.0000 1
Se1 Se 0.0000 0.0000 0.0972 1
O1 O 0.0000 0.0000 0.5000 1
```

=====

3.
Entry from the Alexandria database: a relaxed CeMgH6Ir crystal (GGA-PBE).

Results
For the electronic total energy, the calculation gives -0.1613 hartree per atom.

CIF file:
```
data_CeMgH6Ir
_chemical_formula_sum 'Ce1 Mg1 H6 Ir1'
_cell_length_a 4.6806
_cell_length_b 4.6806
_cell_length_c 4.5527
_cell_angle_alpha 90.00
_cell_angle_beta 90.00
_cell_angle_gamma 120.00
_symmetry_space_group_name_H-M 'P -6 m 2'
_symmetry_Int_Tables_number 187
_symmetry_space_group_name_Hall 'P -6 2'
loop_
_atom_site_label
_atom_site_type_symbol
_atom_site_fract_x
_atom_site_fract_y
_atom_site_fract_z
_atom_site_occupancy
Ce1 Ce 0.0000 0.0000 0.0000 1
Mg1 Mg 0.3333 0.6667 0.5000 1
H1 H 0.5184 0.0368 0.2224 1
Ir1 Ir 0.6667 0.3333 0.5000 1
```

=====

4.
Entry from the Alexandria database: a relaxed Dy6AgBi crystal (GGA-PBE).

Results
For the electronic total energy, the calculation gives -0.1635 hartree per atom. The value obtained for the formation energy is -1.24 eV per formula unit.

CIF file:
```
data_Dy6AgBi
_chemical_formula_sum 'Dy18 Ag3 Bi3'
_cell_length_a 8.8828
_cell_length_b 8.8828
_cell_length_c 10.1475
_cell_angle_alpha 90.00
_cell_angle_beta 90.00
_cell_angle_gamma 120.00
_symmetry_space_group_name_H-M 'R -3'
_symmetry_Int_Tables_number 148
_symmetry_space_group_name_Hall '-R 3'
loop_
_atom_site_label
_atom_site_type_symbol
_atom_site_fract_x
_atom_site_fract_y
_atom_site_fract_z
_atom_site_occupancy
Dy1 Dy 0.0174 0.2446 0.2279 1
Ag1 Ag 0.0000 0.0000 0.0000 1
Bi1 Bi 0.0000 0.0000 0.5000 1
```

=====

5.
Entry from the Alexandria database: a relaxed LiNdMgRu crystal (GGA-PBE).

Results
For the electronic total energy, the calculation gives -0.1630 hartree per atom. The value obtained for the formation energy is -0.19 eV per formula unit.

CIF file:
```
data_LiNdMgRu
_chemical_formula_sum 'Li4 Nd4 Mg4 Ru4'
_cell_length_a 6.8390
_cell_length_b 6.8390
_cell_length_c 6.8390
_cell_angle_alpha 90.00
_cell_angle_beta 90.00
_cell_angle_gamma 90.00
_symmetry_space_group_name_H-M 'F -4 3 m'
_symmetry_Int_Tables_number 216
_symmetry_space_group_name_Hall 'F -4 2 3'
loop_
_atom_site_label
_atom_site_type_symbol
_atom_site_fract_x
_atom_site_fract_y
_atom_site_fract_z
_atom_site_occupancy
Li1 Li 0.0000 0.0000 0.0000 1
Nd1 Nd 0.2500 0.2500 0.2500 1
Mg1 Mg 0.2500 0.2500 0.7500 1
Ru1 Ru 0.0000 0.0000 0.5000 1
```

=====

6.
Entry from the Alexandria database: a relaxed K2BeB2 crystal (GGA-PBE).

Results
For the electronic total energy, the calculation gives -0.0926 hartree per atom. The value obtained for the formation energy is 6.68 eV per formula unit. The calculation puts the polymorph energy (0 for the lowest one) at 0 meV per atom.

CIF file:
```
data_K2BeB2
_chemical_formula_sum 'K4 Be2 B4'
_cell_length_a 2.8493
_cell_length_b 2.8493
_cell_length_c 21.9458
_cell_angle_alpha 90.00
_cell_angle_beta 90.00
_cell_angle_gamma 90.00
_symmetry_space_group_name_H-M 'I 4/m m m'
_symmetry_Int_Tables_number 139
_symmetry_space_group_name_Hall '-I 4 2'
loop_
_atom_site_label
_atom_site_type_symbol
_atom_site_fract_x
_atom_site_fract_y
_atom_site_fract_z
_atom_site_occupancy
K1 K 0.0000 0.0000 0.1251 1
Be1 Be 0.0000 0.0000 0.5000 1
B1 B 0.0000 0.5000 0.2500 1
```